[1]
The following is a GGA-PBE calculation of crystalline AuBr at its relaxed geometry, from Alexandria.

Cell lengths 7.6820, 7.6820, 7.6820 Å; angles 90.00, 90.00, 90.00 degrees
Closest atoms and distances in Å follow each position.
Atoms (fractional coordinates):
Br (0.0000, 0.5000, 0.2500)  4 Au 2.72
Br (0.2500, 0.0000, 0.5000)  4 Au 2.72
Br (0.5000, 0.2500, 0.0000)  4 Au 2.72
Br (0.7500, 0.0000, 0.5000)  4 Au 2.72
Br (0.0000, 0.5000, 0.7500)  4 Au 2.72
Br (0.5000, 0.7500, 0.0000)  4 Au 2.72
Au (0.2500, 0.5000, 0.0000)  4 Br 2.72
Au (0.0000, 0.2500, 0.5000)  4 Br 2.72
Au (0.7500, 0.5000, 0.0000)  4 Br 2.72
Au (0.5000, 0.0000, 0.7500)  4 Br 2.72
Au (0.0000, 0.7500, 0.5000)  4 Br 2.72
Au (0.5000, 0.0000, 0.2500)  4 Br 2.72

Results
total DFT energy (no corrections) = -0.0854 Ha/atom
uncorrected formation energy = 0.15 eV per atom

***

[2]
The following is a GGA-PBE calculation of crystalline AuBr2 at its relaxed geometry, from Alexandria.

Cell lengths 5.3676, 5.3676, 16.5782 Å; angles 90.00, 90.00, 120.00 degrees
Closest atoms and distances in Å follow each position.
Atoms (fractional coordinates):
Br (0.0000, 0.0000, 0.5000)  6 Au 3.10
Br (0.6668, 0.8334, 0.7500)  4 Br 2.68
Br (0.1666, 0.8334, 0.7500)  4 Br 2.68
Br (0.8334, 0.1666, 0.2500)  4 Br 2.68
Br (0.0000, 0.0000, 0.0000)  6 Au 3.10
Br (0.8334, 0.6668, 0.2500)  4 Br 2.68
Br (0.1666, 0.3332, 0.7500)  4 Br 2.68
Br (0.3332, 0.1666, 0.2500)  4 Br 2.68
Au (0.6667, 0.3333, 0.4994)  3 Br 3.10, 3 Au 3.10
Au (0.3333, 0.6667, 0.5006)  3 Br 3.10, 3 Au 3.10
Au (0.6667, 0.3333, 0.0006)  3 Br 3.10, 3 Au 3.10
Au (0.3333, 0.6667, 0.9994)  3 Br 3.10, 3 Au 3.10

Results
total DFT energy (no corrections) = -0.0633 Ha/atom
uncorrected formation energy = 0.48 eV per atom